DyPdAu2: optimized geometry, PBE.

Properties
Total DFT energy (no corrections) ... -4.78 eV/atom
DFT formation energy ... -694.5 meV/atom
Symmetry ... Fm-3m (225)
Total magnetization ... 0.00 μB per formula unit

Lattice parameters (Å, degrees): 4.8140 4.8140 4.8140 60.00 60.00 60.00
Closest atoms and distances in Å follow each position.
Atoms (fractional coordinates):
Dy (0.0000, 0.0000, 0.0000)  8 Au 2.95
Pd (0.5000, 0.5000, 0.5000)  8 Au 2.95
Au (0.2500, 0.2500, 0.2500)  4 Pd 2.95, 4 Dy 2.95
Au (0.7500, 0.7500, 0.7500)  4 Pd 2.95, 4 Dy 2.95